# Ho2PuIn (PBE, relaxed)
# VASP energy = -6.60 eV/atom
# DOS(E_F) = 13.6 states/eV/f.u.
# Total moment = 1.62 μB/atom
# Energy relative to the elements = -0.048 eV/atom
# Space-group type = Fm-3m, No. 225
# Theoretical density = 10.4 Mg/m³
data_Ho2PuIn
_cell_length_a 5.380
_cell_length_b 5.380
_cell_length_c 5.380
_cell_angle_alpha 60.00
_cell_angle_beta 60.00
_cell_angle_gamma 60.00
_symmetry_space_group_name_H-M 'P 1'
_symmetry_Int_Tables_number 1
loop_
_symmetry_equiv_pos_as_xyz
'x,y,z'
loop_
_atom_site_label
_atom_site_type_symbol
_atom_site_fract_x
_atom_site_fract_y
_atom_site_fract_z
_atom_site_occupancy
In1 In 0.500 0.500 0.500 1
Ho1 Ho 0.250 0.250 0.250 1
Ho2 Ho 0.750 0.750 0.750 1
Pu1 Pu 0.000 0.000 0.000 1